Entry from Alexandria: crystalline PuSe2 at its relaxed geometry (PBE-GGA).

Summary:
Its formation energy from raw total energies is -1.1208 eV per atom. As for the total energy: -8.22 eV/atom.

a b c (Å): 5.429 5.429 5.429
angles (deg): 139.47 139.47 58.66
Element x y z (fractional)
Pu 0.000 0.000 0.000
Se 0.350 0.350 0.000
Se 0.650 0.650 0.000